Record 1
Material: Si3Rh
Method: DFT, PBEsol
State: optimized geometry

Computed properties:
Uncorrected formation energy ... -0.059 eV per atom
Mass density ... 5.7 g cm⁻³
Total magnetization ... 0.0 μB/f.u.
E ... -6.4036 eV/atom
Volume ... 13.652 A^3/atom
D(E_F) ... 0.281 states/eV/atom

Unit cell a=3.4791 b=4.3535 c=4.5566 alpha=118.54 beta=112.44 gamma=90.00
Fractional positions:
Rh 0.0000 0.0000 0.0000
Si 0.2432 0.7432 0.4863
Si 0.5000 0.5000 0.0000
Si 0.7568 0.2568 0.5137

Record 2
Material: La4Cr
Method: DFT, PBEsol
State: optimized geometry

Computed properties:
Mass density ... 6.1 g cm⁻³
Energy relative to the elements ... 3.6 eV per formula unit
Total magnetization ... 4.4 μB/f.u.
E ... -5.6088 eV/atom
Volume ... 33.070 A^3/atom
D(E_F) ... 1.234 states/eV/atom

Unit cell a=4.1667 b=4.1667 c=9.9692 alpha=102.06 beta=102.06 gamma=90.00
Last column: magnetic moment on the atom in μB.
Fractional positions:
Cr 0.0000 0.0000 0.0000  3.75
La 0.7500 0.2500 0.5000  0.05
La 0.4188 0.4188 0.8376  0.00
La 0.5812 0.5812 0.1624  0.00
La 0.2500 0.7500 0.5000  0.05

Record 3
Material: TeBr
Method: DFT, PBEsol
State: optimized geometry

Computed properties:
Uncorrected formation energy ... 0.734 eV per atom
Mass density ... 4.1 g cm⁻³
Total magnetization ... 0.0 μB/f.u.
E ... -1.9645 eV/atom
Volume ... 42.057 A^3/atom
D(E_F) ... 1.375 states/eV/atom

Unit cell a=4.9181 b=4.9181 c=4.9181 alpha=60.00 beta=60.00 gamma=60.00
Fractional positions:
Te 0.2500 0.2500 0.2500
Br 0.0000 0.0000 0.0000

Number 1 is which compound?
Si3Rh